meta-GGA SCAN Sr5Fe4MoO15, single point on PBEsol structure; spin magnetization = 15.6 μB/f.u.; symmetry = C2/m; crystal system = monoclinic; uncorrected formation energy = -61.030 eV per formula unit
1.0
8.123 -2.707 0.000
8.123 2.707 0.000
-1.800 0.000 6.390
Sr Fe Mo O
5 4 1 15
Direct
0.000 0.000 0.000
0.204 0.204 0.805
0.394 0.394 0.603
0.606 0.606 0.397
0.796 0.796 0.195
0.203 0.203 0.297
0.398 0.398 0.091
0.602 0.602 0.909
0.797 0.797 0.703
0.000 0.000 0.500
0.000 0.500 0.500
0.099 0.601 0.900
0.100 0.100 0.400
0.199 0.702 0.301
0.298 0.801 0.699
0.301 0.301 0.200
0.399 0.901 0.100
0.500 0.000 0.500
0.500 0.500 0.000
0.601 0.099 0.900
0.699 0.699 0.800
0.702 0.199 0.301
0.801 0.298 0.699
0.900 0.900 0.600
0.901 0.399 0.100



meta-GGA SCAN TiReAg2, single point on PBEsol structure; spin magnetization = 0.0 μB/f.u.; symmetry = Fm-3m; crystal system = cubic; energy of formation = 690 meV per atom
1.0
0.000 3.164 3.164
3.164 0.000 3.164
3.164 3.164 0.000
Ti Re Ag
1 1 2
Direct
0.000 0.000 0.000
0.500 0.500 0.500
0.250 0.250 0.250
0.750 0.750 0.750



meta-GGA SCAN BaCa2In, single point on PBEsol structure; spin magnetization = 0.3 μB/f.u.; symmetry = P4/mmm; crystal system = tetragonal; energy of formation = -280 meV per atom
1.0
3.828 0.000 0.000
0.000 3.828 0.000
0.000 0.000 10.252
Ba Ca In
1 2 1
Direct
0.000 0.000 0.000
0.500 0.500 0.317
0.500 0.500 0.683
0.000 0.000 0.500



meta-GGA SCAN YSc3Al, single point on PBEsol structure; spin magnetization = 0.9 μB/f.u.; symmetry = Pm-3m; crystal system = cubic; energy of formation = 259 meV per atom
1.0
5.157 0.000 0.000
0.000 5.157 0.000
0.000 0.000 5.157
Y Sc Al
1 3 1
Direct
0.000 0.000 0.000
0.000 0.500 0.500
0.500 0.000 0.500
0.500 0.500 0.000
0.500 0.500 0.500



meta-GGA SCAN Mo5W11, single point on PBEsol structure; spin magnetization = 0.0 μB/f.u.; symmetry = Pm; crystal system = monoclinic; energy of formation = -2 meV per atom
1.0
6.290 0.000 0.000
0.000 6.291 0.000
-0.001 0.000 6.292
Mo W
5 11
Direct
0.000 0.000 0.000
0.000 0.500 0.499
0.249 0.250 0.249
0.249 0.750 0.249
0.499 0.000 0.000
0.000 0.000 0.499
0.000 0.500 0.000
0.249 0.250 0.750
0.249 0.750 0.750
0.499 0.000 0.499
0.499 0.500 0.000
0.499 0.500 0.499
0.750 0.250 0.249
0.750 0.250 0.750
0.750 0.750 0.249
0.750 0.750 0.750



meta-GGA SCAN ZnTc5, single point on PBEsol structure; spin magnetization = 0.0 μB/f.u.; symmetry = Cm; crystal system = monoclinic; energy of formation = 24 meV per atom
1.0
4.860 -1.408 0.000
4.860 1.408 0.000
-1.723 0.000 6.064
Zn Tc
1 5
Direct
0.000 0.000 0.000
0.289 0.289 0.081
0.329 0.329 0.664
0.624 0.624 0.744
0.663 0.663 0.332
0.946 0.946 0.413



- What is the spin magnetization in the sixth record?
  0.0 μB/f.u.